This record from Alexandria via LeMat-Bulk describes NaAsRh after structural relaxation. The functional is GGA-PBE.

## Properties
ΔH_f (0 K) ... -0.27 eV/atom
N(E_F) ... 1.8 states/eV/cell
Mass density ... 5.1 g/cm³
Space-group type ... P-6m2 (187)
Magnetization ... 0.00 μB/cell

a = 4.0843 Å, b = 4.0843 Å, c = 4.5255 Å
α = 90.00°, β = 90.00°, γ = 120.00°
Atoms (fractional coordinates):
Na: 0.0000 0.0000 0.0000
As: 0.3333 0.6667 0.5000
Rh: 0.6667 0.3333 0.5000